Crystalline Ac4Ga2Ag5 at its relaxed geometry, computed with PBE.

Its space group is P2/m. Its crystal system is monoclinic. The calculation puts the energy at -40.135 eV per cell. The calculation puts the formation energy at -0.31 eV/atom.

Cell: 4.1880 8.0294 9.2888 Å, 86.18 90.00 90.00°
With the nearest neighbours (Å) after each atom.
Positions (direct):
Ac: 0.5000 0.7335 0.6350  6 Ag 3.37-3.46, 4 Ga 3.38-3.48
Ac: 0.5000 0.2257 0.8598  8 Ag 3.25-3.45, 2 Ga 3.38
Ac: 0.5000 0.2665 0.3650  6 Ag 3.37-3.46, 4 Ga 3.38-3.48
Ac: 0.5000 0.7743 0.1402  8 Ag 3.25-3.45, 2 Ga 3.38
Ga: 0.0000 0.0648 0.6194  1 Ga 2.51, 2 Ag 2.71-2.73
Ga: 0.0000 0.9352 0.3806  1 Ga 2.51, 2 Ag 2.71-2.73
Ag: 0.0000 0.5987 0.3705  1 Ga 2.71, 1 Ag 2.79
Ag: 0.0000 0.1160 0.1211  1 Ga 2.73, 1 Ag 3.01
Ag: 0.0000 0.5000 0.0000  4 Ag 3.21-3.58, 4 Ac 3.36
Ag: 0.0000 0.8840 0.8789  1 Ga 2.73, 1 Ag 3.01
Ag: 0.0000 0.4013 0.6295  1 Ga 2.71, 1 Ag 2.79